VASP calculation (GGA-PBEsol) on crystalline MgBeTe2 at its relaxed geometry.

Cell and atoms, written as extended XYZ:
```
4
Lattice="-1.773 -2.796 2.560 -1.803 -1.864 -3.284 4.982 -3.730 -0.619" Properties=species:S:1:pos:R:3 pbc="T T T"
Mg 3.861 -5.007 -1.945
Te 1.207 -1.423 0.145
Te 1.544 -5.336 -0.486
Be 1.380 -3.617 1.295
```

Distance to the lowest polymorph of the same formula (meV per atom): 31
Calculated total energy (eV per atom): -3.7112
Crystal system: monoclinic
Formation energy from raw total energies (eV per atom): -0.52
Space-group type: No. 6